A plane-wave DFT calculation with PBE was carried out for SbOs2Au after structural relaxation.

**N(E_F)**: 4.21 states/eV/f.u.
**Space group**: Cmm2 (35)
**E_form (uncorrected)**: 74.2 kJ per mole of atoms
**Mass density**: 15.9 g cm⁻³
**Total magnetic moment**: 0.2 Bohr magnetons per cell

Cell lengths 2.899, 2.899, 10.143 Å; angles 90.00, 90.00, 120.79 degrees
Atoms (fractional coordinates):
1 Au 0.500 0.500 0.774
2 Os 0.000 0.000 0.021
3 Os 0.500 0.500 0.229
4 Sb 0.000 0.000 0.476